Entry 1:
Ca2ScTaO6 | meta-GGA SCAN | PBEsol geometry

## Properties
As for the total moment: 0.0 Bohr magnetons per cell.

Lattice parameters (Å, degrees): 5.470 5.645 9.548 90.00 124.89 90.00
Fractional coordinates of all 20 atoms:
Ca (0.235, 0.052, 0.248)
Ca (0.235, 0.448, 0.748)
Ca (0.765, 0.552, 0.252)
Ca (0.765, 0.948, 0.752)
Sc (0.000, 0.000, 0.500)
Sc (0.000, 0.500, 0.000)
Ta (0.500, 0.000, 0.000)
Ta (0.500, 0.500, 0.500)
O (0.157, 0.197, 0.950)
O (0.157, 0.303, 0.450)
O (0.251, 0.710, 0.945)
O (0.251, 0.790, 0.445)
O (0.356, 0.035, 0.757)
O (0.356, 0.465, 0.257)
O (0.644, 0.535, 0.743)
O (0.644, 0.965, 0.243)
O (0.749, 0.210, 0.555)
O (0.749, 0.290, 0.055)
O (0.843, 0.697, 0.550)
O (0.843, 0.803, 0.050)

Entry 2:
CaSeO2 | meta-GGA SCAN | PBEsol geometry

## Properties
As for the total moment: 0.0 Bohr magnetons per cell.

Lattice parameters (Å, degrees): 6.077 6.077 6.077 35.35 35.35 35.35
Fractional coordinates of all 4 atoms:
Ca (0.000, 0.000, 0.000)
Se (0.500, 0.500, 0.500)
O (0.126, 0.126, 0.126)
O (0.874, 0.874, 0.874)

Entry 3:
CaSeO2 | meta-GGA SCAN | PBEsol geometry

## Properties
As for the total moment: 0.0 Bohr magnetons per cell.

Lattice parameters (Å, degrees): 7.096 7.096 7.096 143.25 143.25 52.96
Fractional coordinates of all 8 atoms:
Ca (0.000, 0.000, 0.000)
Ca (0.750, 0.250, 0.500)
Se (0.250, 0.750, 0.500)
Se (0.500, 0.500, 0.000)
O (0.162, 0.625, 0.037)
O (0.375, 0.412, 0.537)
O (0.588, 0.125, 0.963)
O (0.875, 0.838, 0.463)

Entry 4:
Ca3SeO | meta-GGA SCAN | PBEsol geometry

## Properties
As for the total moment: 0.0 Bohr magnetons per cell.

Lattice parameters (Å, degrees): 4.719 4.719 4.719 90.00 90.00 90.00
Fractional coordinates of all 5 atoms:
Ca (0.000, 0.000, 0.500)
Ca (0.000, 0.500, 0.000)
Ca (0.500, 0.000, 0.000)
Se (0.500, 0.500, 0.500)
O (0.000, 0.000, 0.000)

Entry 5:
CaSeO3 | meta-GGA SCAN | PBEsol geometry

## Properties
As for the total moment: 0.0 Bohr magnetons per cell.

Lattice parameters (Å, degrees): 3.946 3.946 3.946 90.00 90.00 90.00
Fractional coordinates of all 5 atoms:
Ca (0.000, 0.000, 0.000)
Se (0.500, 0.500, 0.500)
O (0.000, 0.500, 0.500)
O (0.500, 0.000, 0.500)
O (0.500, 0.500, 0.000)

Entry 6:
CaSeO3 | meta-GGA SCAN | PBEsol geometry

## Properties
As for the total moment: 0.0 Bohr magnetons per cell.

Lattice parameters (Å, degrees): 6.356 8.296 5.391 90.00 90.00 90.00
Fractional coordinates of all 20 atoms:
Ca (0.000, 0.000, 0.000)
Ca (0.000, 0.500, 0.000)
Ca (0.500, 0.000, 0.500)
Ca (0.500, 0.500, 0.500)
Se (0.024, 0.250, 0.485)
Se (0.476, 0.750, 0.985)
Se (0.524, 0.250, 0.015)
Se (0.976, 0.750, 0.515)
O (0.083, 0.250, 0.797)
O (0.171, 0.091, 0.369)
O (0.171, 0.409, 0.369)
O (0.329, 0.591, 0.869)
O (0.329, 0.909, 0.869)
O (0.417, 0.750, 0.297)
O (0.583, 0.250, 0.703)
O (0.671, 0.091, 0.131)
O (0.671, 0.409, 0.131)
O (0.829, 0.591, 0.631)
O (0.829, 0.909, 0.631)
O (0.917, 0.750, 0.203)

Number 1: DFT total energy -345.16 eV for the cell shown. Number 2: DFT total energy -44.79 eV for the cell shown. Number 3: DFT total energy -94.53 eV for the cell shown. Number 4: DFT total energy -63.54 eV for the cell shown. Number 5: DFT total energy -56.51 eV for the cell shown. Number 6: DFT total energy -235.05 eV for the cell shown.